# AcSi12Ni6, optimized geometry, DFT GGA-PBE
# **VASP energy**: -5.6555 eV/atom
# **Crystal system**: trigonal
data_AcSi12Ni6
_chemical_formula_sum 'Ac1 Si12 Ni6'
_cell_length_a 6.976
_cell_length_b 6.976
_cell_length_c 6.976
_cell_angle_alpha 106.27
_cell_angle_beta 106.27
_cell_angle_gamma 106.27
_space_group_name_H-M_alt 'P 1'
_space_group_IT_number 1
loop_
_space_group_symop_operation_xyz
'x,y,z'
loop_
_atom_site_label
_atom_site_type_symbol
_atom_site_fract_x
_atom_site_fract_y
_atom_site_fract_z
Si1 Si 0.153 0.847 0.500
Si2 Si 0.537 0.537 0.846
Si3 Si 0.463 0.154 0.463
Si4 Si 0.463 0.463 0.154
Si5 Si 0.847 0.153 0.500
Si6 Si 0.847 0.500 0.153
Si7 Si 0.500 0.847 0.153
Si8 Si 0.153 0.500 0.847
Si9 Si 0.537 0.846 0.537
Si10 Si 0.500 0.153 0.847
Si11 Si 0.846 0.537 0.537
Si12 Si 0.154 0.463 0.463
Ni1 Ni 0.788 0.788 0.405
Ni2 Ni 0.212 0.212 0.595
Ni3 Ni 0.788 0.405 0.788
Ni4 Ni 0.405 0.788 0.788
Ni5 Ni 0.212 0.595 0.212
Ni6 Ni 0.595 0.212 0.212
Ac1 Ac 0.000 0.000 0.000